[1]
! meta-GGA SCAN Mn3TlAu, PBEsol geometry; values from VASP
&SYSTEM
  ibrav = 0, nat = 5, ntyp = 3
/
ATOMIC_SPECIES
Tl 204.38 Tl.upf
Mn 54.94 Mn.upf
Au 196.97 Au.upf
CELL_PARAMETERS angstrom
-4.6586 -1.1266 -0.9891
1.3853 -2.0004 -4.2461
0.5732 -4.3219 2.2231
ATOMIC_POSITIONS crystal
Tl 0.5000 0.5000 0.5000
Mn 0.0000 0.5000 0.0000
Mn 0.0000 0.0000 0.5000
Mn 0.5000 0.0000 0.0000
Au 0.0000 0.0000 0.0000
! **Energy of formation from the pure elements**: 0.275 eV per atom
! **Size of the total moment**: 13.60 μB per formula unit
! **Crystal system**: cubic



[2]
! meta-GGA SCAN Dy5C2Br9, PBEsol geometry; values from VASP
&SYSTEM
  ibrav = 0, nat = 64, ntyp = 3
/
ATOMIC_SPECIES
Dy 162.50 Dy.upf
C 12.01 C.upf
Br 79.90 Br.upf
CELL_PARAMETERS angstrom
9.9235 0.0223 0.0000
-2.9832 11.2406 0.0000
0.0000 0.0000 16.2289
ATOMIC_POSITIONS crystal
Dy 0.3729 0.0355 0.5407
Dy 0.4533 0.3140 0.4417
Dy 0.8388 0.5546 0.1870
Dy 0.7579 0.2640 0.5564
Dy 0.7900 0.2778 0.8371
Dy 0.3388 0.0546 0.3130
Dy 0.8729 0.5355 0.9593
Dy 0.2579 0.7640 0.9436
Dy 0.2900 0.7778 0.6629
Dy 0.9533 0.8140 0.0583
Dy 0.2421 0.7360 0.4436
Dy 0.6271 0.9645 0.4593
Dy 0.1271 0.4645 0.0407
Dy 0.0467 0.1860 0.9417
Dy 0.1612 0.4454 0.8130
Dy 0.5467 0.6860 0.5583
Dy 0.2100 0.7222 0.1629
Dy 0.7100 0.2222 0.3371
Dy 0.6612 0.9454 0.6870
Dy 0.7421 0.2360 0.0564
C 0.0974 0.6700 0.0304
C 0.5974 0.1700 0.4696
C 0.9026 0.3300 0.9696
C 0.4026 0.8300 0.5304
C 0.0091 0.3802 0.9113
C 0.4909 0.1198 0.4113
C 0.5091 0.8802 0.5887
C 0.9909 0.6198 0.0887
Br 0.6404 0.4424 0.0680
Br 0.5429 0.1401 0.1921
Br 0.7469 0.7554 0.1813
Br 0.5615 0.1513 0.9314
Br 0.0615 0.6513 0.5686
Br 0.8596 0.0576 0.5680
Br 0.8164 0.0311 0.3264
Br 0.8661 0.0594 0.8172
Br 0.9122 0.3285 0.1993
Br 0.2328 0.2623 0.0637
Br 0.8592 0.0395 0.0588
Br 0.6408 0.4605 0.5588
Br 0.6339 0.4406 0.3172
Br 0.5878 0.1715 0.6993
Br 0.2531 0.2446 0.8187
Br 0.3164 0.5311 0.1736
Br 0.7531 0.7446 0.6813
Br 0.6836 0.4689 0.8264
Br 0.3596 0.5576 0.9320
Br 0.2672 0.2377 0.5637
Br 0.4385 0.8487 0.0686
Br 0.0429 0.6401 0.3079
Br 0.4122 0.8285 0.3007
Br 0.0878 0.6715 0.8007
Br 0.1404 0.9424 0.4320
Br 0.7672 0.7377 0.9363
Br 0.7328 0.7623 0.4363
Br 0.4571 0.8599 0.8079
Br 0.2469 0.2554 0.3187
Br 0.3592 0.5395 0.4412
Br 0.1339 0.9406 0.1828
Br 0.3661 0.5594 0.6828
Br 0.9571 0.3599 0.6921
Br 0.1408 0.9605 0.9412
Br 0.1836 0.9689 0.6736
Br 0.9385 0.3487 0.4314
! **Formation energy (no corrections)**: -1.770 eV per atom
! **Size of the total moment**: 0.00 μB per formula unit
! **Crystal system**: monoclinic



[3]
! meta-GGA SCAN VP, PBEsol geometry; values from VASP
&SYSTEM
  ibrav = 0, nat = 4, ntyp = 2
/
ATOMIC_SPECIES
P 30.97 P.upf
V 50.94 V.upf
CELL_PARAMETERS angstrom
-1.2496 2.7500 0.6386
-1.1934 -1.7546 -2.2426
-3.8163 -2.6955 4.1399
ATOMIC_POSITIONS crystal
P 0.3333 0.6667 0.2500
P 0.6667 0.3333 0.7500
V 0.0000 0.0000 0.5000
V 0.0000 0.0000 0.0000
! **Energy of formation from the pure elements**: -0.866 eV per atom
! **Size of the total moment**: 0.00 μB per formula unit
! **Crystal system**: hexagonal



[4]
! meta-GGA SCAN MoAu2, PBEsol geometry; values from VASP
&SYSTEM
  ibrav = 0, nat = 6, ntyp = 2
/
ATOMIC_SPECIES
Au 196.97 Au.upf
Mo 95.94 Mo.upf
CELL_PARAMETERS angstrom
-3.2713 0.0532 1.9841
-0.7161 -4.0462 -1.0722
2.6044 -3.8547 4.3974
ATOMIC_POSITIONS crystal
Au 0.2500 0.0810 0.8380
Au 0.7500 0.9190 0.1620
Au 0.2500 0.7520 0.4960
Au 0.7500 0.2480 0.5040
Mo 0.2500 0.4295 0.1409
Mo 0.7500 0.5705 0.8591
! **Energy of formation from the pure elements**: 0.144 eV per atom
! **Size of the total moment**: 0.00 μB per formula unit
! **Crystal system**: orthorhombic



[5]
! meta-GGA SCAN Li2SiPb, PBEsol geometry; values from VASP
&SYSTEM
  ibrav = 0, nat = 4, ntyp = 3
/
ATOMIC_SPECIES
Pb 207.20 Pb.upf
Si 28.09 Si.upf
Li 6.94 Li.upf
CELL_PARAMETERS angstrom
3.1490 0.0000 0.0000
1.5745 2.7271 0.0000
1.5745 0.9090 8.9972
ATOMIC_POSITIONS crystal
Pb 0.5000 0.5000 0.5000
Si 0.0000 0.0000 0.0000
Li 0.2588 0.2588 0.2236
Li 0.7412 0.7412 0.7764
! **Formation energy (no corrections)**: 0.004 eV per atom
! **Size of the total moment**: 0.00 μB per formula unit
! **Crystal system**: trigonal
! **Energy above the most stable polymorph in this dataset**: 0.450 eV per formula unit



[6]
! meta-GGA SCAN InH2, PBEsol geometry; values from VASP
&SYSTEM
  ibrav = 0, nat = 6, ntyp = 2
/
ATOMIC_SPECIES
H 1.01 H.upf
In 114.82 In.upf
CELL_PARAMETERS angstrom
-1.1451 -2.7363 -0.4392
-0.2207 -1.6630 2.5454
-10.4458 3.1754 1.9405
ATOMIC_POSITIONS crystal
H 0.1687 0.6850 0.0612
H 0.8313 0.3150 0.9388
H 0.8542 0.3405 0.8698
H 0.1458 0.6595 0.1302
In 0.6821 0.1849 0.3721
In 0.3179 0.8151 0.6279
! **Size of the total moment**: 0.00 μB per formula unit
! **Calculated total energy**: -13.343 eV per atom
! **Crystal system**: triclinic



[7]
! meta-GGA SCAN TiSiRuS2, PBEsol geometry; values from VASP
&SYSTEM
  ibrav = 0, nat = 5, ntyp = 4
/
ATOMIC_SPECIES
Ru 101.07 Ru.upf
S 32.06 S.upf
Si 28.09 Si.upf
Ti 47.87 Ti.upf
CELL_PARAMETERS angstrom
4.4772 0.0000 0.0000
0.0000 4.4772 0.0000
0.0000 0.0000 4.7852
ATOMIC_POSITIONS crystal
Ru 0.5000 0.5000 0.5000
S 0.0000 0.5000 0.0000
S 0.5000 0.0000 0.0000
Si 0.0000 0.0000 0.5000
Ti 0.0000 0.0000 0.0000
! **Formation energy (no corrections)**: 0.579 eV per atom
! **Size of the total moment**: 2.24 μB per formula unit
! **Crystal system**: tetragonal



[8]
! meta-GGA SCAN CaSe2BrCl, PBEsol geometry; values from VASP
&SYSTEM
  ibrav = 0, nat = 5, ntyp = 4
/
ATOMIC_SPECIES
Ca 40.08 Ca.upf
Se 78.96 Se.upf
Br 79.90 Br.upf
Cl 35.45 Cl.upf
CELL_PARAMETERS angstrom
-1.4085 -5.1339 -0.3641
4.8410 -1.5169 2.6598
-2.6626 0.3717 5.0580
ATOMIC_POSITIONS crystal
Ca 0.0000 0.0000 0.0000
Se 0.0000 0.0000 0.5000
Se 0.0000 0.5000 0.0000
Br 0.5000 0.0000 0.0000
Cl 0.5000 0.5000 0.5000
! **Formation energy (no corrections)**: -0.321 eV per atom
! **Size of the total moment**: 4.01 μB per formula unit
! **Crystal system**: tetragonal